A plane-wave DFT calculation with PBE-GGA was carried out for crystalline Nb2Cr2C3 at its relaxed geometry.

Cell and atoms, written as POSCAR:
```
Nb2Cr2C3
1.0
-0.1109 2.9880 0.5841
-4.8566 0.1792 -1.8384
-0.0450 -2.4998 4.8341
Nb Cr C
2 2 3
Direct
0.6120 0.8389 0.2240
0.3880 0.1611 0.7760
0.8442 0.6619 0.6884
0.1558 0.3381 0.3116
0.0000 0.0000 0.0000
0.7565 0.2586 0.5131
0.2435 0.7414 0.4869
```

## Properties
Crystal system   monoclinic
Size of the total moment   0.000 μB/f.u.
Symmetry   C2/m
DOS(E_F)   3.308 states/eV per cell
Formation energy from the elements   -348 meV per atom